VASP calculation (GGA-PBE) on a geometry-optimized Ca3VC structure.

ΔE to the lowest computed polymorph (meV per atom): 1261
V (Å³ per atom): 38.9
ρ (Mg/m³): 1.6
Energy of formation from the pure elements (eV per atom): 1.882

a = 5.794 Å, b = 5.794 Å, c = 5.794 Å
α = 90.00°, β = 90.00°, γ = 90.00°
Site moments in Bohr magnetons follow the coordinates.
Sites, in units of the cell vectors:
C  0.500  0.500  0.500  0.92
Ca  0.000  0.500  0.000  0.17
Ca  0.500  0.000  0.000  0.17
Ca  0.000  0.000  0.500  0.17
V  0.000  0.000  0.000  3.29